(1)
Ni3BRh | GGA-PBE | optimized geometry

Summary:
total energy = -6.038 eV/atom
polymorph energy (0 for the lowest one) = 0.123 eV/atom
ΔE_f = 0.237 eV/atom
M_tot = 3.01 Bohr magnetons per cell

Cell lengths 4.3487, 4.3487, 7.2305 Å; angles 107.50, 107.50, 90.00 degrees
Last column: magnetic moment on the atom in μB.
Fractional coordinates of all 10 atoms:
Rh  0.9497  0.4497  0.8994  0.45
Rh  0.5503  0.0503  0.1006  0.45
Ni  0.1285  0.3783  0.2569  0.37
Ni  0.6217  0.8715  0.7431  0.37
Ni  0.3034  0.3034  0.6067  0.39
Ni  0.6966  0.6966  0.3933  0.39
Ni  0.1214  0.8715  0.7431  0.37
Ni  0.1285  0.8786  0.2569  0.37
B  0.2500  0.7500  0.5000  -0.03
B  0.0000  0.0000  0.0000  -0.02

=====

(2)
NiB2Rh3 | GGA-PBE | optimized geometry

Summary:
total energy = -7.137 eV/atom
ΔE_f = -0.272 eV/atom
M_tot = 0.00 Bohr magnetons per cell

Cell lengths 3.2536, 6.2512, 7.8054 Å; angles 65.92, 77.97, 74.92 degrees
Fractional coordinates of all 12 atoms:
B  0.3776  0.8549  0.3898
B  0.6224  0.1451  0.6102
B  0.1391  0.5556  0.1662
B  0.8609  0.4444  0.8338
Rh  0.3331  0.3053  0.0285
Rh  0.9497  0.9016  0.1990
Rh  0.1930  0.1981  0.4159
Rh  0.0503  0.0984  0.8010
Rh  0.6669  0.6947  0.9715
Rh  0.8070  0.8019  0.5841
Ni  0.5596  0.5467  0.3342
Ni  0.4404  0.4533  0.6658

=====

(3)
Ni21B6Rh2 | GGA-PBE | optimized geometry

Summary:
total energy = -6.259 eV/atom
ΔE_f = -0.184 eV/atom
M_tot = 4.38 Bohr magnetons per cell

Cell lengths 7.4303, 7.4303, 7.4303 Å; angles 60.00, 60.00, 60.00 degrees
Last column: magnetic moment on the atom in μB.
Fractional coordinates of all 29 atoms:
B  0.2714  0.2714  0.7286  -0.01
B  0.2714  0.7286  0.2714  -0.01
B  0.2714  0.7286  0.7286  -0.01
B  0.7286  0.2714  0.7286  -0.01
B  0.7286  0.2714  0.2714  -0.01
B  0.7286  0.7286  0.2714  -0.01
Ni  0.3839  0.3839  0.3839  0.12
Ni  0.0000  0.3388  0.0000  0.17
Ni  0.0000  0.6612  0.0000  0.17
Ni  0.6612  0.0000  0.3388  0.17
Ni  0.6161  0.1517  0.6161  0.12
Ni  0.0000  0.3388  0.6612  0.17
Ni  0.6612  0.0000  0.0000  0.17
Ni  0.3388  0.0000  0.0000  0.17
Ni  0.3839  0.8483  0.3839  0.12
Ni  0.8483  0.3839  0.3839  0.12
Ni  0.3388  0.6612  0.0000  0.17
Ni  0.3839  0.3839  0.8483  0.12
Ni  0.6161  0.6161  0.1517  0.12
Ni  0.3388  0.0000  0.6612  0.17
Ni  0.0000  0.0000  0.3388  0.17
Ni  0.0000  0.0000  0.0000  0.58
Ni  0.0000  0.6612  0.3388  0.17
Ni  0.6161  0.6161  0.6161  0.12
Ni  0.0000  0.0000  0.6612  0.17
Ni  0.6612  0.3388  0.0000  0.17
Ni  0.1517  0.6161  0.6161  0.12
Rh  0.7500  0.7500  0.7500  0.48
Rh  0.2500  0.2500  0.2500  0.48

=====

(4)
Ni5B3Rh | GGA-PBE | optimized geometry

Summary:
total energy = -6.389 eV/atom
ΔE_f = -0.134 eV/atom
M_tot = 0.00 Bohr magnetons per cell

Cell lengths 5.5236, 5.5236, 7.2376 Å; angles 70.59, 70.59, 71.27 degrees
Fractional coordinates of all 18 atoms:
B  0.0000  0.0000  0.5000
B  0.3415  0.3415  0.6709
B  0.3341  0.3341  0.1700
B  0.0000  0.0000  0.0000
B  0.6659  0.6659  0.8300
B  0.6585  0.6585  0.3291
Ni  0.3053  0.6947  0.0000
Ni  0.9658  0.3614  0.3239
Ni  0.5683  0.5683  0.6297
Ni  0.2358  0.2358  0.9714
Ni  0.4317  0.4317  0.3703
Ni  0.0342  0.6386  0.6761
Ni  0.7642  0.7642  0.0286
Ni  0.6386  0.0342  0.6761
Ni  0.6947  0.3053  0.0000
Ni  0.3614  0.9658  0.3239
Rh  0.1087  0.1087  0.6975
Rh  0.8913  0.8913  0.3025

=====

(5)
NiBRh2 | GGA-PBE | optimized geometry

Summary:
total energy = -6.966 eV/atom
ΔE_f = -0.176 eV/atom
M_tot = 3.54 Bohr magnetons per cell

Cell lengths 5.6165, 6.0247, 5.5265 Å; angles 90.00, 90.00, 90.00 degrees
Last column: magnetic moment on the atom in μB.
Fractional coordinates of all 16 atoms:
Ni  0.0625  0.0026  0.5027  0.45
Ni  0.0625  0.4974  0.0027  0.45
Ni  0.5625  0.5026  0.9973  0.45
Ni  0.5625  0.9974  0.4973  0.45
Rh  0.3178  0.1757  0.8451  0.23
Rh  0.3178  0.3243  0.3451  0.23
Rh  0.3073  0.6757  0.6549  0.23
Rh  0.8073  0.1757  0.8451  0.23
Rh  0.8178  0.8243  0.1549  0.23
Rh  0.8178  0.6757  0.6549  0.23
Rh  0.8073  0.3243  0.3451  0.23
Rh  0.3073  0.8243  0.1549  0.23
B  0.0626  0.3787  0.6348  -0.01
B  0.0626  0.1213  0.1348  -0.01
B  0.5626  0.8787  0.8652  -0.01
B  0.5626  0.6213  0.3652  -0.01

=====

(6)
NiBRh3 | GGA-PBE | optimized geometry

Summary:
total energy = -6.783 eV/atom
polymorph energy (0 for the lowest one) = 0.216 eV/atom
ΔE_f = 0.120 eV/atom
M_tot = 2.50 Bohr magnetons per cell

Cell lengths 4.0491, 4.0491, 4.0491 Å; angles 90.00, 90.00, 90.00 degrees
Last column: magnetic moment on the atom in μB.
Fractional coordinates of all 5 atoms:
Ni  0.5000  0.5000  0.5000  1.03
Rh  0.5000  0.0000  0.0000  0.53
Rh  0.0000  0.0000  0.5000  0.49
Rh  0.0000  0.5000  0.0000  0.50
B  0.0000  0.0000  0.0000  -0.01

=====

(7)
Ni3B2Rh2 | GGA-PBE | optimized geometry

Summary:
total energy = -6.725 eV/atom
ΔE_f = -0.239 eV/atom
M_tot = 0.00 Bohr magnetons per cell

Cell lengths 2.8525, 4.4266, 6.5925 Å; angles 111.96, 90.00, 108.80 degrees
Fractional coordinates of all 7 atoms:
Ni  0.6186  0.2372  0.4279
Ni  0.5000  0.0000  0.0000
Ni  0.3814  0.7628  0.5721
Rh  0.8360  0.6720  0.2003
Rh  0.1640  0.3280  0.7997
B  0.8434  0.6867  0.7637
B  0.1566  0.3133  0.2363

=====

(8)
Ni5B4Rh2 | GGA-PBE | optimized geometry

Summary:
total energy = -6.608 eV/atom
ΔE_f = -0.216 eV/atom
M_tot = 0.00 Bohr magnetons per cell

Cell lengths 3.1692, 4.6611, 8.2696 Å; angles 117.17, 101.05, 90.00 degrees
Fractional coordinates of all 11 atoms:
Ni  0.2438  0.8018  0.4876
Ni  0.1351  0.1980  0.2702
Ni  0.8649  0.8020  0.7298
Ni  0.5000  0.0000  0.0000
Ni  0.7562  0.1982  0.5124
Rh  0.4071  0.3638  0.8143
Rh  0.5929  0.6362  0.1857
B  0.7048  0.5067  0.4095
B  0.2952  0.4933  0.5905
B  0.9919  0.2862  0.9839
B  0.0081  0.7138  0.0161